No. 1
Below is a geometry-optimized Hf3Zr8Bi2 structure, with properties calculated at the PBE-GGA level.

Unit cell a=14.395 b=8.257 c=5.666 alpha=90.00 beta=104.22 gamma=90.00
Space group C2/m (No. 12)
One atom of each set of equivalent atoms:
Hf1 0.000 0.000 0.000 [2 per cell]
Hf2 0.000 0.179 0.500 [4 per cell]
Zr1 0.085 0.500 0.414 [4 per cell]
Zr2 0.113 0.316 0.968 [8 per cell]
Zr3 0.182 0.000 0.673 [4 per cell]
Bi1 0.226 0.000 0.203 [4 per cell]

Properties
The calculation puts the density of states at the Fermi level at 12.76 states/eV/f.u. The formation enthalpy at 0 K is 1.1 eV per formula unit.

---

No. 2
Below is a geometry-optimized NaZnAu2F8 structure, with properties calculated at the PBE-GGA level.

Unit cell a=6.886 b=6.886 c=7.618 alpha=90.00 beta=90.00 gamma=90.00
Space group I-4m2 (No. 119)
One atom of each set of equivalent atoms:
Na1 0.000 0.000 0.000 [2 per cell]
Zn1 0.000 0.500 0.250 [2 per cell]
Au1 0.000 0.000 0.500 [2 per cell]
Au2 0.000 0.500 0.750 [2 per cell]
F1 0.000 0.205 0.285 [8 per cell]
F2 0.000 0.323 0.970 [8 per cell]

Properties
For the electronic total energy, the calculation gives -3.3520 eV per atom. The calculation puts the density of states at the Fermi level at 4.93 states/eV/f.u.

---

No. 3
Below is a geometry-optimized La2RhAu structure, with properties calculated at the PBE-GGA level.

Unit cell a=3.764 b=4.407 c=12.383 alpha=90.00 beta=90.00 gamma=90.00
Space group Imm2 (No. 44)
One atom of each set of equivalent atoms:
La1 0.000 0.000 0.000 [2 per cell]
La2 0.000 0.500 0.214 [2 per cell]
Rh1 0.000 0.500 0.722 [2 per cell]
Au1 0.000 0.000 0.407 [2 per cell]

Properties
The calculation puts the density of states at the Fermi level at 3.37 states/eV/f.u. The formation enthalpy at 0 K is -2.5 eV per formula unit.

---

No. 4
Below is a geometry-optimized MnAg2Sn2S6 structure, with properties calculated at the PBE-GGA level.

Unit cell a=6.481 b=11.105 c=6.813 alpha=90.00 beta=110.48 gamma=90.00
Space group C2/m (No. 12)
One atom of each set of equivalent atoms:
Mn1 0.000 0.000 0.000 [2 per cell]
Ag1 0.000 0.176 0.500 [4 per cell]
Sn1 0.000 0.331 0.000 [4 per cell]
S1 0.217 0.000 0.779 [4 per cell]
S2 0.244 0.160 0.230 [8 per cell]

Properties
For the electronic total energy, the calculation gives -4.6490 eV per atom. The calculation puts the density of states at the Fermi level at 3.38 states/eV/f.u.